# K2MnBO4

A geometry-optimized K2MnBO4 structure (GGA+U, the Alexandria database).

Geometry as CIF:
```
data_K2MnBO4
_chemical_formula_sum 'K16 Mn8 B8 O32'
_space_group_name_H-M_alt 'F d d d'
_space_group_IT_number 70
_cell_length_a 4.751
_cell_length_b 11.061
_cell_length_c 19.957
_cell_angle_alpha 90.00
_cell_angle_beta 90.00
_cell_angle_gamma 90.00
loop_
_space_group_symop_operation_xyz
'x,y,z'
'-x,-y,-z'
'-x+1/4,-y+1/4,z'
'x+1/4,y+1/4,-z'
'x,-y+1/4,-z+1/4'
'-x,y+1/4,z+1/4'
'-x+1/4,y,-z+1/4'
'x+1/4,-y,z+1/4'
'x,y+1/2,z+1/2'
'-x,-y+1/2,-z+1/2'
'-x+1/4,-y+3/4,z+1/2'
'x+1/4,y+3/4,-z+1/2'
'x,-y+3/4,-z+3/4'
'-x,y+3/4,z+3/4'
'-x+1/4,y+1/2,-z+3/4'
'x+1/4,-y+1/2,z+3/4'
'x+1/2,y,z+1/2'
'-x+1/2,-y,-z+1/2'
'-x+3/4,-y+1/4,z+1/2'
'x+3/4,y+1/4,-z+1/2'
'x+1/2,-y+1/4,-z+3/4'
'-x+1/2,y+1/4,z+3/4'
'-x+3/4,y,-z+3/4'
'x+3/4,-y,z+3/4'
'x+1/2,y+1/2,z'
'-x+1/2,-y+1/2,-z'
'-x+3/4,-y+3/4,z'
'x+3/4,y+3/4,-z'
'x+1/2,-y+3/4,-z+1/4'
'-x+1/2,y+3/4,z+1/4'
'-x+3/4,y+1/2,-z+1/4'
'x+3/4,-y+1/2,z+1/4'
loop_
_atom_site_label
_atom_site_fract_x
_atom_site_fract_y
_atom_site_fract_z
_atom_site_occupancy
K1 0.125 0.125 0.300 1
Mn1 0.125 0.125 0.125 1
B1 0.125 0.125 0.625 1
O1 0.073 0.299 0.834 1
```

## Properties
Calculated total energy in eV/atom: -6.134

=====

# KMnBO3

A geometry-optimized KMnBO3 structure (GGA+U, the Alexandria database).

Geometry as CIF:
```
data_KMnBO3
_chemical_formula_sum 'K4 Mn4 B4 O12'
_space_group_name_H-M_alt 'C m c m'
_space_group_IT_number 63
_space_group_name_Hall '-C 2c 2'
_cell_length_a 2.771
_cell_length_b 12.029
_cell_length_c 10.235
_cell_angle_alpha 90.00
_cell_angle_beta 90.00
_cell_angle_gamma 90.00
loop_
_atom_site_label
_atom_site_fract_x
_atom_site_fract_y
_atom_site_fract_z
_atom_site_occupancy
K1 0.000 0.189 0.250 1
Mn1 0.000 0.000 0.000 1
B1 0.000 0.442 0.250 1
O1 0.000 0.124 0.750 1
O2 0.000 0.486 0.631 1
```

## Properties
Calculated total energy in eV/atom: -6.645